No. 1
A plane-wave DFT calculation with meta-GGA SCAN was carried out for a PBEsol-optimized structure of CuTe2PbO7.

a = 5.469 Å, b = 7.174 Å, c = 15.146 Å
α = 90.00°, β = 90.00°, γ = 90.00°
Site moments in Bohr magnetons follow the coordinates.
Positions (direct):
Cu 0.250 0.745 0.612  0.70
Cu 0.750 0.255 0.388  0.70
Cu 0.750 0.745 0.888  0.70
Cu 0.250 0.255 0.112  0.70
Te 0.750 0.003 0.671  0.00
Te 0.250 0.997 0.329  0.00
Te 0.250 0.003 0.829  0.00
Te 0.750 0.997 0.171  0.00
Te 0.750 0.495 0.676  0.01
Te 0.250 0.505 0.324  0.01
Te 0.250 0.495 0.824  0.01
Te 0.750 0.505 0.176  0.01
Pb 0.750 0.776 0.465  0.00
Pb 0.250 0.224 0.535  0.00
Pb 0.250 0.776 0.035  0.00
Pb 0.750 0.224 0.965  0.00
O 0.750 0.242 0.610  0.02
O 0.250 0.758 0.390  0.02
O 0.250 0.242 0.890  0.02
O 0.750 0.758 0.110  0.02
O 0.008 0.553 0.598  0.07
O 0.508 0.447 0.402  0.07
O 0.992 0.553 0.902  0.07
O 0.492 0.447 0.098  0.07
O 0.992 0.447 0.402  0.07
O 0.492 0.553 0.598  0.07
O 0.008 0.447 0.098  0.07
O 0.508 0.553 0.902  0.07
O 0.750 0.768 0.732  0.00
O 0.250 0.232 0.268  0.00
O 0.250 0.768 0.768  0.00
O 0.750 0.232 0.232  0.00
O 0.000 0.929 0.588  0.07
O 0.500 0.071 0.412  0.07
O 0.000 0.929 0.912  0.07
O 0.500 0.071 0.088  0.07
O 0.000 0.071 0.412  0.07
O 0.500 0.929 0.588  0.07
O 0.000 0.071 0.088  0.07
O 0.500 0.929 0.912  0.07
O 0.500 0.116 0.750  0.00
O 0.000 0.884 0.250  0.00
O 0.500 0.884 0.250  0.00
O 0.000 0.116 0.750  0.00

Calculated density in g/cm³: 7.1
Total moment in μB per atom: 0.09
Formation energy without anion corrections in meV per atom: -1111

No. 2
A plane-wave DFT calculation with meta-GGA SCAN was carried out for a PBEsol-optimized structure of RbP2Rh2.

a = 3.879 Å, b = 3.879 Å, c = 7.270 Å
α = 105.48°, β = 105.48°, γ = 90.00°
Positions (direct):
P 0.344 0.344 0.689
P 0.656 0.656 0.311
Rh 0.250 0.750 0.500
Rh 0.750 0.250 0.500
Rb 0.000 0.000 0.000

Calculated formation energy in eV per atom: -0.8633
Calculated density in g/cm³: 5.8
Total moment in μB per atom: 0.00

No. 3
A plane-wave DFT calculation with meta-GGA SCAN was carried out for a PBEsol-optimized structure of ZrSc2Mo.

a = 3.390 Å, b = 3.390 Å, c = 7.188 Å
α = 90.00°, β = 90.00°, γ = 90.00°
Positions (direct):
Mo 0.500 0.500 0.735
Sc 0.000 0.000 0.957
Sc 0.500 0.500 0.267
Zr 0.000 0.000 0.540

Distance to the lowest polymorph of the same formula in meV per atom: 0.0
Calculated formation energy in eV per atom: 0.0730
Calculated density in g/cm³: 5.6
Total moment in μB per atom: 0.00